*one*
{"formula": "NaSb2Mo", "functional": "PBE", "state": "relaxed", "total_magnetization_mub_per_cell": 2.000, "space_group": "No. 122", "cell": [[-4.782, 4.247, -2.710], [-4.889, -4.813, 1.086], [-5.907, 2.060, 4.751]], "species": ["Na", "Sb", "Na", "Sb", "Mo", "Sb", "Mo", "Sb"], "fractional_positions": [[0.500, 0.500, 0.000], [0.047, 0.625, 0.250], [0.250, 0.750, 0.500], [0.703, 0.125, 0.250], [0.000, 0.000, 0.000], [0.875, 0.953, 0.750], [0.750, 0.250, 0.500], [0.375, 0.297, 0.750]]}

---

*two*
{"formula": "NaSb2Mo", "functional": "PBE", "state": "relaxed", "total_magnetization_mub_per_cell": 0.000, "space_group": "No. 166", "cell": [[3.494, 0.000, 0.000], [1.747, 3.026, 0.000], [1.747, 1.009, 9.006]], "species": ["Sb", "Mo", "Sb", "Na"], "fractional_positions": [[0.264, 0.264, 0.209], [0.000, 0.000, 0.000], [0.736, 0.736, 0.791], [0.500, 0.500, 0.500]]}

---

In order of decreasing stability: *two*, *one*.

---

*one*
{"formula": "Na2Sb2Mo", "functional": "PBE", "state": "relaxed", "total_magnetization_mub_per_cell": 0.000, "space_group": "No. 139", "cell": [[-1.641, -1.140, -3.037], [-0.928, -3.096, 1.663], [-8.308, 1.331, 1.815]], "species": ["Na", "Na", "Sb", "Mo", "Sb"], "fractional_positions": [[0.250, 0.750, 0.500], [0.750, 0.250, 0.500], [0.593, 0.593, 0.815], [0.000, 0.000, 0.000], [0.407, 0.407, 0.185]]}

---

*two*
{"formula": "Na2Sb2Mo", "functional": "PBE", "state": "relaxed", "total_magnetization_mub_per_cell": 4.559, "space_group": "No. 127", "cell": [[7.198, 0.000, 0.000], [0.000, 7.198, 0.000], [0.000, 0.000, 5.105]], "species": ["Na", "Mo", "Sb", "Sb", "Mo", "Sb", "Sb", "Na", "Na", "Na"], "fractional_positions": [[0.331, 0.169, 0.500], [0.500, 0.500, 0.000], [0.148, 0.352, 0.000], [0.648, 0.148, 0.000], [0.000, 0.000, 0.000], [0.352, 0.852, 0.000], [0.852, 0.648, 0.000], [0.669, 0.831, 0.500], [0.831, 0.331, 0.500], [0.169, 0.669, 0.500]]}

---

In order of decreasing stability: *two*, *one*.